Here is crystalline SnP2RuCl at its relaxed geometry from Alexandria. Energies are from PBE.

Output
theoretical density	4.7	g/cm³
excess energy over the best structure of this formula in the dataset	0	meV per atom
energy relative to the elements, uncorrected	1.25	eV per formula unit
D(E_F)	3.284	states/eV/f.u.

abc: 4.5716 4.5716 5.3077
angles: 90.00 90.00 90.00
Closest atoms and distances in Å follow each position.
Space group P4/mmm (No. 123)
One atom of each set of equivalent atoms:
Sn 0.0000 0.0000 0.0000 (multiplicity 1)  4 Cl 3.23, 8 P 3.50
P 0.0000 0.5000 0.5000 (multiplicity 2)  2 Ru 2.29
Ru 0.5000 0.5000 0.5000 (multiplicity 1)  4 P 2.29
Cl 0.5000 0.5000 0.0000 (multiplicity 1)  2 Ru 2.65

=====

Here is crystalline CrCoHg2 at its relaxed geometry from Alexandria. Energies are from PBE.

Output
theoretical density	12.3	g/cm³
excess energy over the best structure of this formula in the dataset	245	meV per atom
DFT formation energy	59.1	kJ/mol of atoms
D(E_F)	2.129	states/eV/f.u.

abc: 6.5105 6.5105 6.5105
angles: 90.00 90.00 90.00
Closest atoms and distances in Å follow each position.
Space group F-43m (No. 216)
One atom of each set of equivalent atoms:
Cr 0.0000 0.0000 0.0000 (multiplicity 4)  4 Hg 2.82, 4 Co 2.82
Co 0.2500 0.2500 0.2500 (multiplicity 4)  4 Hg 2.82, 4 Cr 2.82
Hg 0.0000 0.0000 0.5000 (multiplicity 4)  4 Co 2.82, 4 Hg 2.82
Hg 0.2500 0.2500 0.7500 (multiplicity 4)  4 Hg 2.82, 4 Cr 2.82

=====

So what do the calculations give for volume? Going down the list: 22.19; 17.25 Å³ per atom.